Entry 1:
First-principles (GGA-PBE) data for a relaxed structure of La2Tb7Tm3, as listed in Alexandria via LeMat-Bulk. Values from VASP.

Summary:
spin magnetization: 0.00 μB/f.u.
energy of formation from the pure elements: 9 kJ per mole of atoms
space group: P2/m, No. 10
ΔE to the lowest computed polymorph: 0.016 eV/atom
N(E_F): 14.7 states/eV/cell

```
&SYSTEM
  ibrav = 0, nat = 12, ntyp = 3
/
ATOMIC_SPECIES
La 138.91 La.upf
Tb 158.93 Tb.upf
Tm 168.93 Tm.upf
CELL_PARAMETERS angstrom
5.805 0.000 0.000
0.000 3.596 0.000
-1.252 0.000 18.825
ATOMIC_POSITIONS angstrom
La 0.811 0.000 5.555
La 3.742 0.000 13.270
Tb 0.854 1.798 2.644
Tb 0.824 0.000 8.708
Tb 0.826 0.000 15.560
Tb 2.902 1.798 0.000
Tb 3.727 0.000 3.265
Tb 3.729 0.000 10.117
Tb 3.699 1.798 16.181
Tm 0.000 0.000 0.000
Tm 0.840 1.798 11.806
Tm 3.713 1.798 7.019
```

Entry 2:
First-principles (GGA-PBE) data for a relaxed structure of P2IrPbO, as listed in Alexandria via LeMat-Bulk. Values from VASP.

Summary:
spin magnetization: 0.00 μB/f.u.
space group: P4/mmm, No. 123
ΔE to the lowest computed polymorph: 0.000 eV/atom
ΔE_f (raw): 0.1238 eV/atom
N(E_F): 4.6 states/eV/cell

```
&SYSTEM
  ibrav = 0, nat = 5, ntyp = 4
/
ATOMIC_SPECIES
P 30.97 P.upf
Ir 192.22 Ir.upf
Pb 207.20 Pb.upf
O 16.00 O.upf
CELL_PARAMETERS angstrom
5.056 0.000 0.000
0.000 5.056 0.000
0.000 0.000 3.770
ATOMIC_POSITIONS angstrom
P 0.000 2.528 0.000
P 2.528 0.000 0.000
Ir 0.000 0.000 0.000
Pb 2.528 2.528 1.885
O 0.000 0.000 1.885
```